# PBE-GGA PmPr2MnSe5, optimized geometry
# - SG: Cmc2_1
# - Crystal system: orthorhombic
data_PmPr2MnSe5
_symmetry_space_group_name_H-M 'P 1'
_symmetry_Int_Tables_number 1
_cell_length_a 4.117
_cell_length_b 9.066
_cell_length_c 12.644
_cell_angle_alpha 90.00
_cell_angle_beta 90.00
_cell_angle_gamma 103.12
loop_
_symmetry_equiv_pos_as_xyz
'x,y,z'
loop_
_atom_site_label
_atom_site_type_symbol
_atom_site_fract_x
_atom_site_fract_y
_atom_site_fract_z
Se1 Se 0.302 0.603 0.692
Se2 Se 0.013 0.025 0.019
Se3 Se 0.493 0.987 0.749
Se4 Se 0.687 0.374 0.856
Se5 Se 0.698 0.397 0.192
Se6 Se 0.345 0.690 0.018
Se7 Se 0.507 0.013 0.249
Se8 Se 0.313 0.626 0.356
Se9 Se 0.987 0.975 0.519
Se10 Se 0.655 0.310 0.518
Pr1 Pr 0.119 0.238 0.346
Pr2 Pr 0.120 0.240 0.693
Pr3 Pr 0.880 0.760 0.193
Pr4 Pr 0.881 0.762 0.846
Mn1 Mn 0.449 0.898 0.424
Mn2 Mn 0.551 0.102 0.924
Pm1 Pm 0.820 0.640 0.526
Pm2 Pm 0.180 0.360 0.026



# PBE-GGA PmPrMnZn, optimized geometry
# - SG: F-43m
# - Crystal system: cubic
# - E_form: 0.012 eV per atom
data_PmPrMnZn
_symmetry_space_group_name_H-M 'P 1'
_symmetry_Int_Tables_number 1
_cell_length_a 5.199
_cell_length_b 5.199
_cell_length_c 5.199
_cell_angle_alpha 60.00
_cell_angle_beta 60.00
_cell_angle_gamma 60.00
loop_
_symmetry_equiv_pos_as_xyz
'x,y,z'
loop_
_atom_site_label
_atom_site_type_symbol
_atom_site_fract_x
_atom_site_fract_y
_atom_site_fract_z
Pr1 Pr 0.750 0.750 0.750
Zn1 Zn 0.500 0.500 0.500
Pm1 Pm 0.250 0.250 0.250
Mn1 Mn 0.000 0.000 0.000



# PBE-GGA PmMnPt2, optimized geometry
# - SG: P4/mmm
# - Crystal system: tetragonal
# - E_form: -0.650 eV per atom
data_PmMnPt2
_symmetry_space_group_name_H-M 'P 1'
_symmetry_Int_Tables_number 1
_cell_length_a 3.383
_cell_length_b 3.383
_cell_length_c 6.666
_cell_angle_alpha 90.00
_cell_angle_beta 90.00
_cell_angle_gamma 90.00
loop_
_symmetry_equiv_pos_as_xyz
'x,y,z'
loop_
_atom_site_label
_atom_site_type_symbol
_atom_site_fract_x
_atom_site_fract_y
_atom_site_fract_z
Pt1 Pt 0.000 0.000 0.786
Pt2 Pt 0.000 0.000 0.214
Mn1 Mn 0.500 0.500 0.000
Pm1 Pm 0.500 0.500 0.500



| no. | VASP energy (eV/cell) |
| --- | --- |
| 1 | -109.81 |
| 2 | -19.92 |
| 3 | -28.60 |